Computed, not measured: a relaxed structure of TaAs2Pt at the PBE level of DFT.

Summary:
total DFT energy (no corrections)	-6.8440	eV/atom
ΔE_f	-0.05	eV per atom
N(E_F)	7.74	states/eV per cell
SG	Fm-3m
crystal system	cubic

a b c (Å): 6.4329 6.4329 6.4329
angles (deg): 90.00 90.00 90.00
Sites, in units of the cell vectors:
Ta: 0.0000 0.0000 0.0000
Ta: 0.0000 0.5000 0.5000
Ta: 0.5000 0.0000 0.5000
Ta: 0.5000 0.5000 0.0000
As: 0.2500 0.2500 0.2500
As: 0.2500 0.2500 0.7500
As: 0.2500 0.7500 0.2500
As: 0.2500 0.7500 0.7500
As: 0.7500 0.2500 0.2500
As: 0.7500 0.2500 0.7500
As: 0.7500 0.7500 0.2500
As: 0.7500 0.7500 0.7500
Pt: 0.0000 0.0000 0.5000
Pt: 0.0000 0.5000 0.0000
Pt: 0.5000 0.0000 0.0000
Pt: 0.5000 0.5000 0.5000